No. 1
Compound: NdHo4Th2
Source: the Alexandria database
Functional: GGA-PBE
Structure: relaxed

Computed properties:
The calculation puts the energy relative to the elements at 0.09 eV per atom. Its crystal system is triclinic. The size of the total moment comes out at 0.00 μB per cell. The value obtained for the energy above the most stable polymorph in this dataset is 0 kJ/mol of formula units. As for the calculated volume: 32.8 A^3/atom.

Unit cell a=3.5059 b=9.4790 c=8.7650 alpha=122.03 beta=78.51 gamma=111.66
Fractional positions:
1 Ho 0.4109 0.7052 0.5870
2 Ho 0.5891 0.2948 0.4130
3 Ho 0.8024 0.1542 0.7049
4 Ho 0.1976 0.8458 0.2951
5 Nd 0.0000 0.0000 0.0000
6 Th 0.6321 0.5642 0.8623
7 Th 0.3679 0.4358 0.1377

=====

No. 2
Compound: Nd10Ho4Th
Source: the Alexandria database
Functional: GGA-PBE
Structure: relaxed

Computed properties:
The calculation puts the energy relative to the elements at 0.46 eV per atom. Its crystal system is tetragonal. The size of the total moment comes out at 0.00 μB per cell. As for the calculated volume: 36.8 A^3/atom.

Unit cell a=10.9313 b=8.9643 c=8.9643 alpha=68.18 beta=52.43 gamma=52.43
Fractional positions:
1 Nd 0.9470 0.6564 0.1048
2 Nd 0.9481 0.1048 0.3436
3 Nd 0.7500 0.5000 0.5000
4 Nd 0.2500 0.5000 0.5000
5 Nd 0.0530 0.3436 0.8952
6 Nd 0.0519 0.8952 0.6564
7 Nd 0.2918 0.6564 0.1048
8 Nd 0.3966 0.8952 0.6564
9 Nd 0.6034 0.1048 0.3436
10 Nd 0.7082 0.3436 0.8952
11 Ho 0.5582 0.6649 0.2187
12 Ho 0.4418 0.3351 0.7813
13 Ho 0.7769 0.7813 0.6649
14 Ho 0.2231 0.2187 0.3351
15 Th 0.0000 0.0000 0.0000

=====

No. 3
Compound: Nd3Ho12Th
Source: the Alexandria database
Functional: GGA-PBE
Structure: relaxed

Computed properties:
The calculation puts the energy relative to the elements at 0.02 eV per atom. Its crystal system is tetragonal. The size of the total moment comes out at 0.00 μB per cell. As for the calculated volume: 31.8 A^3/atom.

Unit cell a=5.0300 b=5.0300 c=20.1290 alpha=90.00 beta=90.00 gamma=90.00
Fractional positions:
1 Ho 0.5000 0.0000 0.1223
2 Ho 0.5000 0.0000 0.6256
3 Ho 0.5000 0.5000 0.0000
4 Ho 0.0000 0.5000 0.1223
5 Ho 0.5000 0.5000 0.5000
6 Ho 0.5000 0.0000 0.8777
7 Ho 0.0000 0.5000 0.6256
8 Ho 0.0000 0.5000 0.3744
9 Ho 0.5000 0.5000 0.7504
10 Ho 0.5000 0.5000 0.2496
11 Ho 0.5000 0.0000 0.3744
12 Ho 0.0000 0.5000 0.8777
13 Nd 0.0000 0.0000 0.7513
14 Nd 0.0000 0.0000 0.2487
15 Nd 0.0000 0.0000 0.5000
16 Th 0.0000 0.0000 0.0000

=====

No. 4
Compound: NdHo2Th
Source: the Alexandria database
Functional: GGA-PBE
Structure: relaxed

Computed properties:
The calculation puts the energy relative to the elements at 0.04 eV per atom. Its crystal system is tetragonal. The size of the total moment comes out at 0.00 μB per cell. The value obtained for the energy above the most stable polymorph in this dataset is 11 kJ/mol of formula units. As for the calculated volume: 32.2 A^3/atom.

Unit cell a=4.9856 b=5.0849 c=5.0849 alpha=90.00 beta=90.00 gamma=90.00
Fractional positions:
1 Ho 0.0000 0.0000 0.5000
2 Ho 0.0000 0.5000 0.0000
3 Nd 0.5000 0.0000 0.0000
4 Th 0.5000 0.5000 0.5000

=====

No. 5
Compound: Nd7Ho4Th
Source: the Alexandria database
Functional: GGA-PBE
Structure: relaxed

Computed properties:
The calculation puts the energy relative to the elements at 0.24 eV per atom. Its crystal system is monoclinic. The size of the total moment comes out at 0.00 μB per cell. The value obtained for the energy above the most stable polymorph in this dataset is 256 kJ/mol of formula units. As for the calculated volume: 34.4 A^3/atom.

Unit cell a=6.1006 b=9.8185 c=8.6113 alpha=60.36 beta=69.25 gamma=71.90
Fractional positions:
1 Ho 0.4298 0.6957 0.4448
2 Ho 0.3296 0.3794 0.9614
3 Ho 0.6704 0.6206 0.0386
4 Ho 0.5702 0.3043 0.5552
5 Nd 0.7859 0.2385 0.1898
6 Nd 0.5000 0.0000 0.0000
7 Nd 0.7926 0.8820 0.5327
8 Nd 0.0843 0.5583 0.2732
9 Nd 0.9157 0.4417 0.7268
10 Nd 0.2074 0.1180 0.4673
11 Nd 0.2141 0.7615 0.8102
12 Th 0.0000 0.0000 0.0000

=====

No. 6
Compound: Nd6Ho12Th
Source: the Alexandria database
Functional: GGA-PBE
Structure: relaxed

Computed properties:
The calculation puts the energy relative to the elements at 0.22 eV per atom. Its crystal system is trigonal. The size of the total moment comes out at 0.00 μB per cell. The value obtained for the energy above the most stable polymorph in this dataset is 95 kJ/mol of formula units. As for the calculated volume: 33.6 A^3/atom.

Unit cell a=8.7406 b=8.7406 c=8.7406 alpha=99.30 beta=99.30 gamma=99.30
Fractional positions:
1 Ho 0.0780 0.3494 0.3494
2 Ho 0.9220 0.6506 0.6506
3 Ho 0.7553 0.5000 0.2447
4 Ho 0.5000 0.2447 0.7553
5 Ho 0.6506 0.6506 0.9220
6 Ho 0.2447 0.5000 0.7553
7 Ho 0.6506 0.9220 0.6506
8 Ho 0.3494 0.3494 0.0780
9 Ho 0.7553 0.2447 0.5000
10 Ho 0.2447 0.7553 0.5000
11 Ho 0.3494 0.0780 0.3494
12 Ho 0.5000 0.7553 0.2447
13 Th 0.0000 0.0000 0.0000
14 Nd 0.3423 0.9001 0.9001
15 Nd 0.9001 0.3423 0.9001
16 Nd 0.0999 0.0999 0.6577
17 Nd 0.9001 0.9001 0.3423
18 Nd 0.0999 0.6577 0.0999
19 Nd 0.6577 0.0999 0.0999

=====

No. 7
Compound: Nd4Ho4Th
Source: the Alexandria database
Functional: GGA-PBE
Structure: relaxed

Computed properties:
The calculation puts the energy relative to the elements at 0.03 eV per atom. Its crystal system is tetragonal. The size of the total moment comes out at 0.00 μB per cell. The value obtained for the energy above the most stable polymorph in this dataset is 0 kJ/mol of formula units. As for the calculated volume: 33.0 A^3/atom.

Unit cell a=5.0753 b=8.0635 c=8.0635 alpha=84.32 beta=71.66 gamma=71.66
Fractional positions:
1 Ho 0.3368 0.3265 0.0000
2 Ho 0.6633 0.0000 0.6735
3 Ho 0.6632 0.6735 0.0000
4 Ho 0.3367 0.0000 0.3265
5 Nd 0.6715 0.3284 0.3285
6 Nd 0.3285 0.6716 0.6715
7 Nd 0.0000 0.6715 0.3284
8 Nd 0.0000 0.3285 0.6716
9 Th 0.0000 0.0000 0.0000

=====

No. 8
Compound: NdHo3Th
Source: the Alexandria database
Functional: GGA-PBE
Structure: relaxed

Computed properties:
The calculation puts the energy relative to the elements at 0.35 eV per atom. Its crystal system is orthorhombic. The size of the total moment comes out at 0.00 μB per cell. The value obtained for the energy above the most stable polymorph in this dataset is 96 kJ/mol of formula units. As for the calculated volume: 34.8 A^3/atom.

Unit cell a=3.5674 b=8.5348 c=11.6826 alpha=90.00 beta=90.00 gamma=102.04
Fractional positions:
1 Ho 0.6589 0.8181 0.2500
2 Ho 0.3411 0.1819 0.7500
3 Ho 0.8469 0.1943 0.9979
4 Ho 0.1531 0.8057 0.4979
5 Ho 0.8469 0.1943 0.5021
6 Ho 0.1531 0.8057 0.0021
7 Th 0.9944 0.4894 0.2500
8 Th 0.0056 0.5106 0.7500
9 Nd 0.3251 0.1500 0.2500
10 Nd 0.6749 0.8500 0.7500

=====

Which of these has the highest calculated volume? Nd10Ho4Th

=====

Which value of size of the total moment does entry 6 give? 0.00 μB per cell

=====

Copy entry 1 word for word.
Compound: NdHo4Th2
Source: the Alexandria database
Functional: GGA-PBE
Structure: relaxed

Computed properties:
The calculation puts the energy relative to the elements at 0.09 eV per atom. Its crystal system is triclinic. The size of the total moment comes out at 0.00 μB per cell. The value obtained for the energy above the most stable polymorph in this dataset is 0 kJ/mol of formula units. As for the calculated volume: 32.8 A^3/atom.

Unit cell a=3.5059 b=9.4790 c=8.7650 alpha=122.03 beta=78.51 gamma=111.66
Fractional positions:
1 Ho 0.4109 0.7052 0.5870
2 Ho 0.5891 0.2948 0.4130
3 Ho 0.8024 0.1542 0.7049
4 Ho 0.1976 0.8458 0.2951
5 Nd 0.0000 0.0000 0.0000
6 Th 0.6321 0.5642 0.8623
7 Th 0.3679 0.4358 0.1377

=====

The lowest calculated volume belongs to which entry? Nd3Ho12Th